A) NaAlNF2: relaxed, GGA-PBE. Values from VASP.

Results
Fermi-level density of states: 3.10 states/eV per cell
space-group type: P4/mmm, No. 123

```
&SYSTEM
  ibrav = 0, nat = 5, ntyp = 4
/
ATOMIC_SPECIES
N 14.01 N.upf
Al 26.98 Al.upf
F 19.00 F.upf
Na 22.99 Na.upf
ATOMIC_POSITIONS crystal
N 0.0000 0.0000 0.5000
Al 0.0000 0.0000 0.0000
F 0.5000 0.0000 0.0000
F 0.0000 0.5000 0.0000
Na 0.5000 0.5000 0.5000
CELL_PARAMETERS angstrom
-0.0015 -2.3202 -3.0909
-1.5792 -2.8208 2.1181
-3.4580 1.2389 -0.9283
```

=====

B) NaAlNF2: relaxed, GGA-PBE. Values from VASP.

Results
Fermi-level density of states: 1.28 states/eV per cell
space-group type: P4/mmm, No. 123

```
&SYSTEM
  ibrav = 0, nat = 5, ntyp = 4
/
ATOMIC_SPECIES
F 19.00 F.upf
N 14.01 N.upf
Na 22.99 Na.upf
Al 26.98 Al.upf
ATOMIC_POSITIONS crystal
F 0.0000 0.5000 0.0000
F 0.5000 0.0000 0.0000
N 0.0000 0.0000 0.5000
Na 0.0000 0.0000 0.0000
Al 0.5000 0.5000 0.5000
CELL_PARAMETERS angstrom
-2.0514 3.2353 0.4526
-2.2300 -1.7774 2.5977
2.7423 1.2864 3.2343
```

=====

Structures ranked by computed energy, the most stable listed first: A), B).

=====

A) NaAlN2F: relaxed, GGA-PBE. Values from VASP.

Results
Fermi-level density of states: 1.91 states/eV per cell
space-group type: P4/mmm, No. 123

```
&SYSTEM
  ibrav = 0, nat = 5, ntyp = 4
/
ATOMIC_SPECIES
F 19.00 F.upf
Na 22.99 Na.upf
Al 26.98 Al.upf
N 14.01 N.upf
ATOMIC_POSITIONS crystal
F 0.0000 0.0000 0.5000
Na 0.0000 0.0000 0.0000
Al 0.5000 0.5000 0.5000
N 0.0000 0.5000 0.0000
N 0.5000 0.0000 0.0000
CELL_PARAMETERS angstrom
-0.3975 0.6350 -4.2530
-0.1421 -4.2708 -0.6244
-3.8292 0.0735 0.3689
```

=====

B) NaAlN2F: relaxed, GGA-PBE. Values from VASP.

Results
Fermi-level density of states: 1.38 states/eV per cell
space-group type: P4/mmm, No. 123

```
&SYSTEM
  ibrav = 0, nat = 5, ntyp = 4
/
ATOMIC_SPECIES
Na 22.99 Na.upf
N 14.01 N.upf
Al 26.98 Al.upf
F 19.00 F.upf
ATOMIC_POSITIONS crystal
Na 0.5000 0.5000 0.5000
N 0.5000 0.0000 0.0000
N 0.0000 0.5000 0.0000
Al 0.0000 0.0000 0.0000
F 0.0000 0.0000 0.5000
CELL_PARAMETERS angstrom
3.7568 0.0000 0.0000
0.0000 3.7568 0.0000
0.0000 0.0000 4.1100
```

=====

Structures ranked by computed energy, the most stable listed first: B), A).